a.
DFT (PBE-GGA) results for a geometry-optimized SbTePd structure.

Cell: 4.327 5.299 7.305 Å, 103.99 97.67 93.18°
Positions (direct):
1 Sb 0.000 0.000 0.000
2 Sb 0.282 0.401 0.735
3 Te 0.038 0.523 0.238
4 Te 0.670 0.086 0.489
5 Pd 0.443 0.920 0.772
6 Pd 0.516 0.754 0.116


b.
DFT (PBE-GGA) results for a geometry-optimized SbTePd structure.

Cell: 4.107 4.107 5.084 Å, 90.00 90.00 120.00°
Positions (direct):
1 Sb 0.000 0.000 0.000
2 Te 0.667 0.333 0.474
3 Pd 0.333 0.667 0.743


c.
DFT (PBE-GGA) results for a geometry-optimized SbTePd structure.

Cell: 6.639 6.639 6.639 Å, 90.00 90.00 90.00°
Positions (direct):
1 Sb 0.127 0.127 0.127
2 Sb 0.373 0.873 0.627
3 Sb 0.627 0.373 0.873
4 Sb 0.873 0.627 0.373
5 Te 0.126 0.374 0.626
6 Te 0.374 0.626 0.126
7 Te 0.626 0.126 0.374
8 Te 0.874 0.874 0.874
9 Pd 0.004 0.996 0.496
10 Pd 0.496 0.004 0.996
11 Pd 0.504 0.504 0.504
12 Pd 0.996 0.496 0.004


Short version: a is the least stable of them.


a.
DFT (PBE-GGA) results for a geometry-optimized SbTePd structure.

Cell: 6.883 6.626 6.908 Å, 90.00 104.38 90.00°
Positions (direct):
1 Sb 0.136 0.132 0.364
2 Sb 0.136 0.368 0.864
3 Sb 0.864 0.632 0.136
4 Sb 0.864 0.868 0.636
5 Te 0.353 0.629 0.646
6 Te 0.353 0.871 0.146
7 Te 0.647 0.129 0.854
8 Te 0.647 0.371 0.354
9 Pd 0.248 0.005 0.752
10 Pd 0.248 0.495 0.252
11 Pd 0.752 0.505 0.748
12 Pd 0.752 0.995 0.248


b.
DFT (PBE-GGA) results for a geometry-optimized SbTePd structure.

Cell: 4.753 4.753 4.753 Å, 60.00 60.00 60.00°
Positions (direct):
1 Sb 0.000 0.000 0.000
2 Te 0.500 0.500 0.500
3 Pd 0.750 0.750 0.750


Short version: b is the least stable of them.


a.
DFT (PBE-GGA) results for a geometry-optimized Sb2TePd4 structure.

Cell: 7.526 7.526 7.526 Å, 140.01 140.01 57.84°
Positions (direct):
1 Sb 0.110 0.110 0.000
2 Sb 0.890 0.890 0.000
3 Te 0.500 0.500 0.000
4 Pd 0.000 0.500 0.500
5 Pd 0.304 0.304 0.000
6 Pd 0.500 0.000 0.500
7 Pd 0.696 0.696 0.000


b.
DFT (PBE-GGA) results for a geometry-optimized Sb2TePd4 structure.

Cell: 5.986 10.709 4.511 Å, 90.00 90.00 90.00°
Positions (direct):
1 Sb 0.116 0.181 0.000
2 Sb 0.384 0.681 0.000
3 Sb 0.616 0.319 0.000
4 Sb 0.884 0.819 0.000
5 Te 0.000 0.500 0.500
6 Te 0.500 0.000 0.500
7 Pd 0.188 0.773 0.500
8 Pd 0.236 0.445 0.000
9 Pd 0.264 0.945 0.000
10 Pd 0.312 0.273 0.500
11 Pd 0.688 0.727 0.500
12 Pd 0.736 0.055 0.000
13 Pd 0.764 0.555 0.000
14 Pd 0.812 0.227 0.500


Short version: a is the least stable of them.


a.
DFT (PBE-GGA) results for a geometry-optimized SbTe2Pd4 structure.

Cell: 6.491 6.491 12.034 Å, 90.00 90.00 143.00°
Positions (direct):
1 Sb 0.128 0.872 0.750
2 Sb 0.872 0.128 0.250
3 Te 0.361 0.639 0.580
4 Te 0.361 0.639 0.920
5 Te 0.639 0.361 0.080
6 Te 0.639 0.361 0.420
7 Pd 0.000 0.000 0.000
8 Pd 0.000 0.000 0.500
9 Pd 0.291 0.709 0.133
10 Pd 0.291 0.709 0.367
11 Pd 0.500 0.500 0.250
12 Pd 0.500 0.500 0.750
13 Pd 0.709 0.291 0.633
14 Pd 0.709 0.291 0.867


b.
DFT (PBE-GGA) results for a geometry-optimized SbTe2Pd4 structure.

Cell: 7.735 7.735 7.735 Å, 142.07 142.07 54.72°
Positions (direct):
1 Sb 0.000 0.000 0.000
2 Te 0.374 0.374 0.000
3 Te 0.626 0.626 0.000
4 Pd 0.000 0.500 0.500
5 Pd 0.185 0.185 0.000
6 Pd 0.500 0.000 0.500
7 Pd 0.815 0.815 0.000


Short version: b is the least stable of them.


a.
DFT (PBE-GGA) results for a geometry-optimized Sb2Te2Pd3 structure.

Cell: 4.022 6.491 6.578 Å, 92.70 107.42 97.89°
Positions (direct):
1 Sb 0.198 0.400 0.212
2 Sb 0.802 0.600 0.788
3 Te 0.392 0.098 0.730
4 Te 0.608 0.902 0.270
5 Pd 0.000 0.000 0.000
6 Pd 0.192 0.703 0.527
7 Pd 0.808 0.297 0.473


b.
DFT (PBE-GGA) results for a geometry-optimized Sb2Te2Pd3 structure.

Cell: 6.768 7.229 6.963 Å, 90.00 104.93 90.00°
Positions (direct):
1 Sb 0.123 0.165 0.373
2 Sb 0.123 0.335 0.873
3 Sb 0.877 0.665 0.127
4 Sb 0.877 0.835 0.627
5 Te 0.370 0.672 0.601
6 Te 0.370 0.828 0.101
7 Te 0.630 0.172 0.899
8 Te 0.630 0.328 0.399
9 Pd 0.000 0.000 0.000
10 Pd 0.000 0.500 0.500
11 Pd 0.263 0.502 0.229
12 Pd 0.263 0.998 0.729
13 Pd 0.737 0.002 0.271
14 Pd 0.737 0.498 0.771


Short version: a is the least stable of them.


a.
DFT (PBE-GGA) results for a geometry-optimized Sb2TePd7 structure.

Cell: 11.606 11.606 11.606 Å, 159.75 159.75 28.79°
Positions (direct):
1 Sb 0.170 0.170 0.000
2 Sb 0.830 0.830 0.000
3 Te 0.500 0.500 0.000
4 Pd 0.000 0.000 0.000
5 Pd 0.094 0.594 0.500
6 Pd 0.250 0.750 0.500
7 Pd 0.406 0.906 0.500
8 Pd 0.594 0.094 0.500
9 Pd 0.750 0.250 0.500
10 Pd 0.906 0.406 0.500


b.
DFT (PBE-GGA) results for a geometry-optimized Sb2TePd7 structure.

Cell: 7.856 7.856 4.147 Å, 90.00 90.00 123.32°
Positions (direct):
1 Sb 0.190 0.810 0.000
2 Sb 0.810 0.190 0.000
3 Te 0.500 0.500 0.500
4 Pd 0.000 0.000 0.000
5 Pd 0.212 0.419 0.000
6 Pd 0.299 0.701 0.500
7 Pd 0.419 0.212 0.000
8 Pd 0.581 0.788 0.000
9 Pd 0.701 0.299 0.500
10 Pd 0.788 0.581 0.000


Short version: b is the least stable of them.


a.
DFT (PBE-GGA) results for a geometry-optimized SbTe4Pd structure.

Cell: 5.457 4.224 7.409 Å, 90.00 90.39 90.00°
Positions (direct):
1 Sb 0.000 0.000 0.000
2 Te 0.274 0.000 0.361
3 Te 0.299 0.500 0.802
4 Te 0.701 0.500 0.198
5 Te 0.726 0.000 0.639
6 Pd 0.000 0.500 0.500


b.
DFT (PBE-GGA) results for a geometry-optimized SbTe4Pd structure.

Cell: 7.384 6.942 7.011 Å, 90.00 91.55 90.00°
Positions (direct):
1 Sb 0.000 0.000 0.000
2 Sb 0.000 0.500 0.500
3 Te 0.151 0.093 0.598
4 Te 0.151 0.407 0.098
5 Te 0.408 0.629 0.627
6 Te 0.408 0.871 0.127
7 Te 0.592 0.129 0.873
8 Te 0.592 0.371 0.373
9 Te 0.849 0.593 0.902
10 Te 0.849 0.907 0.402
11 Pd 0.500 0.000 0.500
12 Pd 0.500 0.500 0.000


Short version: b is the least stable of them.


a.
DFT (PBE-GGA) results for a geometry-optimized SbTePd3 structure.

Cell: 7.245 7.245 9.104 Å, 117.09 117.09 28.38°
Positions (direct):
1 Sb 0.160 0.160 0.034
2 Sb 0.840 0.840 0.966
3 Te 0.393 0.393 0.544
4 Te 0.607 0.607 0.456
5 Pd 0.046 0.046 0.197
6 Pd 0.260 0.260 0.688
7 Pd 0.377 0.377 0.217
8 Pd 0.623 0.623 0.783
9 Pd 0.740 0.740 0.312
10 Pd 0.954 0.954 0.803


b.
DFT (PBE-GGA) results for a geometry-optimized SbTePd3 structure.

Cell: 4.971 4.971 4.971 Å, 90.00 90.00 90.00°
Positions (direct):
1 Sb 0.000 0.000 0.000
2 Te 0.500 0.500 0.500
3 Pd 0.000 0.500 0.500
4 Pd 0.500 0.000 0.500
5 Pd 0.500 0.500 0.000


Short version: b is the least stable of them.


a.
DFT (PBE-GGA) results for a geometry-optimized SbTePd4 structure.

Cell: 6.180 6.180 6.603 Å, 101.11 101.11 110.58°
Positions (direct):
1 Sb 0.119 0.881 0.750
2 Sb 0.881 0.119 0.250
3 Te 0.462 0.538 0.750
4 Te 0.538 0.462 0.250
5 Pd 0.088 0.300 0.939
6 Pd 0.183 0.586 0.395
7 Pd 0.300 0.088 0.439
8 Pd 0.414 0.817 0.105
9 Pd 0.586 0.183 0.895
10 Pd 0.700 0.912 0.561
11 Pd 0.817 0.414 0.605
12 Pd 0.912 0.700 0.061


b.
DFT (PBE-GGA) results for a geometry-optimized SbTePd4 structure.

Cell: 10.073 10.073 5.627 Å, 90.00 90.00 154.99°
Positions (direct):
1 Sb 0.171 0.829 0.500
2 Sb 0.829 0.171 0.000
3 Te 0.443 0.557 0.437
4 Te 0.557 0.443 0.937
5 Pd 0.131 0.869 0.049
6 Pd 0.283 0.717 0.764
7 Pd 0.310 0.690 0.278
8 Pd 0.419 0.581 0.920
9 Pd 0.581 0.419 0.420
10 Pd 0.690 0.310 0.778
11 Pd 0.717 0.283 0.264
12 Pd 0.869 0.131 0.549


Short version: a is the least stable of them.


a.
DFT (PBE-GGA) results for a geometry-optimized Sb3TePd structure.

Cell: 5.253 5.253 5.253 Å, 90.00 90.00 90.00°
Positions (direct):
1 Sb 0.000 0.000 0.500
2 Sb 0.000 0.500 0.000
3 Sb 0.500 0.000 0.000
4 Te 0.500 0.500 0.500
5 Pd 0.000 0.000 0.000


b.
DFT (PBE-GGA) results for a geometry-optimized Sb3TePd structure.

Cell: 7.082 5.035 7.663 Å, 90.00 90.27 90.00°
Positions (direct):
1 Sb 0.183 0.000 0.248
2 Sb 0.298 0.556 0.000
3 Sb 0.299 0.556 0.498
4 Sb 0.701 0.056 0.502
5 Sb 0.702 0.056 0.000
6 Sb 0.817 0.500 0.752
7 Te 0.183 0.103 0.748
8 Te 0.817 0.603 0.252
9 Pd 0.498 0.300 0.250
10 Pd 0.502 0.800 0.750


Short version: a is the least stable of them.


a.
DFT (PBE-GGA) results for a geometry-optimized TlSbTe2Pd structure.

Cell: 5.578 5.578 5.085 Å, 90.00 90.00 90.00°
Positions (direct):
1 Tl 0.000 0.000 0.000
2 Sb 0.500 0.500 0.000
3 Te 0.000 0.500 0.500
4 Te 0.500 0.000 0.500
5 Pd 0.500 0.500 0.500


b.
DFT (PBE-GGA) results for a geometry-optimized TlSbTe2Pd structure.

Cell: 5.749 5.749 5.630 Å, 90.00 90.00 90.00°
Positions (direct):
1 Tl 0.000 0.000 0.000
2 Sb 0.000 0.000 0.500
3 Te 0.000 0.500 0.000
4 Te 0.500 0.000 0.000
5 Pd 0.500 0.500 0.500


Short version: b is the least stable of them.